Entry 1:
DFT (PBE) results for crystalline CsThAgTe4 at its relaxed geometry.

Summary:
Calculated volume = 37.4 A^3/atom
Crystal system = monoclinic

Cell and atoms, written as CIF:
```
data_CsThAgTe4
_cell_length_a 8.053
_cell_length_b 6.247
_cell_length_c 10.901
_cell_angle_alpha 90.00
_cell_angle_beta 107.31
_cell_angle_gamma 90.00
_space_group_name_H-M_alt 'P 1'
_space_group_IT_number 1
loop_
_space_group_symop_operation_xyz
'x,y,z'
loop_
_atom_site_label
_atom_site_fract_x
_atom_site_fract_y
_atom_site_fract_z
Cs1 0.224 0.250 0.050
Cs2 0.776 0.750 0.950
Th1 0.274 0.250 0.556
Th2 0.726 0.750 0.444
Ag1 0.283 0.750 0.324
Ag2 0.717 0.250 0.676
Te1 0.016 0.510 0.691
Te2 0.016 0.990 0.691
Te3 0.429 0.750 0.591
Te4 0.485 0.750 0.164
Te5 0.515 0.250 0.836
Te6 0.571 0.250 0.409
Te7 0.984 0.010 0.309
Te8 0.984 0.490 0.309
```

Entry 2:
DFT (PBE) results for crystalline Cs2ThAg2Te4 at its relaxed geometry.

Summary:
Calculated volume = 37.4 A^3/atom
Crystal system = monoclinic

Cell and atoms, written as CIF:
```
data_Cs2ThAg2Te4
_cell_length_a 8.720
_cell_length_b 8.720
_cell_length_c 9.058
_cell_angle_alpha 107.70
_cell_angle_beta 107.70
_cell_angle_gamma 30.96
_space_group_name_H-M_alt 'P 1'
_space_group_IT_number 1
loop_
_space_group_symop_operation_xyz
'x,y,z'
loop_
_atom_site_label
_atom_site_fract_x
_atom_site_fract_y
_atom_site_fract_z
Cs1 0.137 0.137 0.073
Cs2 0.863 0.863 0.927
Th1 0.000 0.000 0.500
Ag1 0.321 0.321 0.514
Ag2 0.679 0.679 0.486
Te1 0.194 0.194 0.678
Te2 0.486 0.486 0.730
Te3 0.514 0.514 0.270
Te4 0.806 0.806 0.322
```

Entry 3:
DFT (PBE) results for crystalline CsTh2Ag2Te6 at its relaxed geometry.

Summary:
Calculated volume = 39.8 A^3/atom
Crystal system = triclinic

Cell and atoms, written as CIF:
```
data_CsTh2Ag2Te6
_cell_length_a 7.738
_cell_length_b 8.479
_cell_length_c 8.521
_cell_angle_alpha 60.62
_cell_angle_beta 69.33
_cell_angle_gamma 66.23
_space_group_name_H-M_alt 'P 1'
_space_group_IT_number 1
loop_
_space_group_symop_operation_xyz
'x,y,z'
loop_
_atom_site_label
_atom_site_fract_x
_atom_site_fract_y
_atom_site_fract_z
Cs1 0.000 0.000 0.000
Th1 0.015 0.674 0.678
Th2 0.985 0.326 0.322
Ag1 0.492 0.305 0.628
Ag2 0.508 0.695 0.372
Te1 0.232 0.531 0.367
Te2 0.266 0.942 0.538
Te3 0.271 0.332 0.957
Te4 0.729 0.668 0.043
Te5 0.734 0.058 0.462
Te6 0.768 0.469 0.633
```

Entry 4:
DFT (PBE) results for crystalline CsTh2AgTe5 at its relaxed geometry.

Summary:
Calculated volume = 35.8 A^3/atom
Crystal system = tetragonal

Cell and atoms, written as CIF:
```
data_CsTh2AgTe5
_cell_length_a 10.396
_cell_length_b 10.396
_cell_length_c 10.396
_cell_angle_alpha 129.94
_cell_angle_beta 129.94
_cell_angle_gamma 73.50
_space_group_name_H-M_alt 'P 1'
_space_group_IT_number 1
loop_
_space_group_symop_operation_xyz
'x,y,z'
loop_
_atom_site_label
_atom_site_fract_x
_atom_site_fract_y
_atom_site_fract_z
Cs1 0.250 0.250 0.000
Cs2 0.750 0.750 0.000
Th1 0.158 0.658 0.817
Th2 0.342 0.158 0.500
Th3 0.658 0.842 0.500
Th4 0.842 0.342 0.183
Ag1 0.250 0.750 0.500
Ag2 0.750 0.250 0.500
Te1 0.000 0.000 0.000
Te2 0.026 0.236 0.500
Te3 0.236 0.736 0.210
Te4 0.264 0.474 0.500
Te5 0.474 0.974 0.210
Te6 0.500 0.500 0.000
Te7 0.526 0.026 0.790
Te8 0.736 0.526 0.500
Te9 0.764 0.264 0.790
Te10 0.974 0.764 0.500
```

Entry 5:
DFT (PBE) results for crystalline CsTiAgTe2 at its relaxed geometry.

Summary:
Calculated volume = 33.8 A^3/atom
Crystal system = orthorhombic

Cell and atoms, written as CIF:
```
data_CsTiAgTe2
_cell_length_a 8.855
_cell_length_b 8.855
_cell_length_c 6.392
_cell_angle_alpha 90.00
_cell_angle_beta 90.00
_cell_angle_gamma 137.57
_space_group_name_H-M_alt 'P 1'
_space_group_IT_number 1
loop_
_space_group_symop_operation_xyz
'x,y,z'
loop_
_atom_site_label
_atom_site_fract_x
_atom_site_fract_y
_atom_site_fract_z
Cs1 0.250 0.750 0.781
Cs2 0.750 0.250 0.219
Ti1 0.250 0.250 0.500
Ti2 0.750 0.750 0.500
Ag1 0.000 0.000 0.000
Ag2 0.500 0.500 0.000
Te1 0.113 0.887 0.298
Te2 0.387 0.613 0.298
Te3 0.613 0.387 0.702
Te4 0.887 0.113 0.702
```

Entry 6:
DFT (PBE) results for crystalline CsTiAg2Te at its relaxed geometry.

Summary:
Calculated volume = 43.2 A^3/atom
Crystal system = tetragonal

Cell and atoms, written as CIF:
```
data_CsTiAg2Te
_cell_length_a 5.674
_cell_length_b 5.674
_cell_length_c 6.713
_cell_angle_alpha 90.00
_cell_angle_beta 90.00
_cell_angle_gamma 90.00
_space_group_name_H-M_alt 'P 1'
_space_group_IT_number 1
loop_
_space_group_symop_operation_xyz
'x,y,z'
loop_
_atom_site_label
_atom_site_fract_x
_atom_site_fract_y
_atom_site_fract_z
Cs1 0.000 0.000 0.000
Ti1 0.500 0.500 0.500
Ag1 0.000 0.500 0.000
Ag2 0.500 0.000 0.000
Te1 0.000 0.000 0.500
```

Entry 7:
DFT (PBE) results for crystalline CsTlAgTe2 at its relaxed geometry.

Summary:
Calculated volume = 42.1 A^3/atom
Crystal system = monoclinic

Cell and atoms, written as CIF:
```
data_CsTlAgTe2
_cell_length_a 7.965
_cell_length_b 7.965
_cell_length_c 10.573
_cell_angle_alpha 100.58
_cell_angle_beta 100.58
_cell_angle_gamma 39.82
_space_group_name_H-M_alt 'P 1'
_space_group_IT_number 1
loop_
_space_group_symop_operation_xyz
'x,y,z'
loop_
_atom_site_label
_atom_site_fract_x
_atom_site_fract_y
_atom_site_fract_z
Cs1 0.173 0.173 0.191
Cs2 0.827 0.827 0.809
Tl1 0.454 0.454 0.299
Tl2 0.546 0.546 0.701
Ag1 0.159 0.159 0.571
Ag2 0.841 0.841 0.429
Te1 0.109 0.109 0.815
Te2 0.352 0.352 0.546
Te3 0.648 0.648 0.454
Te4 0.891 0.891 0.185
```

Entry 8:
DFT (PBE) results for crystalline CsTl2AgTe2 at its relaxed geometry.

Summary:
Calculated volume = 39.2 A^3/atom
Crystal system = orthorhombic

Cell and atoms, written as CIF:
```
data_CsTl2AgTe2
_cell_length_a 4.878
_cell_length_b 11.520
_cell_length_c 8.360
_cell_angle_alpha 90.00
_cell_angle_beta 90.00
_cell_angle_gamma 90.00
_space_group_name_H-M_alt 'P 1'
_space_group_IT_number 1
loop_
_space_group_symop_operation_xyz
'x,y,z'
loop_
_atom_site_label
_atom_site_fract_x
_atom_site_fract_y
_atom_site_fract_z
Cs1 0.000 0.014 0.000
Cs2 0.000 0.986 0.500
Tl1 0.000 0.375 0.347
Tl2 0.000 0.625 0.847
Tl3 0.500 0.395 0.974
Tl4 0.500 0.605 0.474
Ag1 0.500 0.267 0.578
Ag2 0.500 0.733 0.078
Te1 0.000 0.287 0.743
Te2 0.000 0.713 0.243
Te3 0.500 0.192 0.257
Te4 0.500 0.808 0.757
```

| no. | raw formation energy (meV/atom) |
| --- | --- |
| 1 | -810 |
| 2 | -920 |
| 3 | -758 |
| 4 | -1026 |
| 5 | -556 |
| 6 | 1481 |
| 7 | -444 |
| 8 | -451 |